Below is an optimized crystal structure of CdSiOs, with properties calculated at the GGA-PBE level.

Cell: 4.115 4.115 3.431 Å, 90.00 90.00 120.00°
Sites, in units of the cell vectors:
Cd 0.000 0.000 0.000
Os 0.667 0.333 0.500
Si 0.333 0.667 0.500

Electronic total energy (eV per atom): -5.71
SG: P-6m2

---

Below is an optimized crystal structure of CdSiOs2, with properties calculated at the GGA-PBE level.

Cell: 2.757 2.757 10.199 Å, 90.00 90.00 118.98°
Sites, in units of the cell vectors:
Cd 0.500 0.500 0.771
Os 0.000 0.000 0.028
Os 0.500 0.500 0.248
Si 0.000 0.000 0.452

Electronic total energy (eV per atom): -6.63
SG: Cmm2

---

Below is an optimized crystal structure of CdSi4Os, with properties calculated at the GGA-PBE level.

Cell: 5.079 5.079 5.079 Å, 60.00 60.00 60.00°
Sites, in units of the cell vectors:
Cd 0.750 0.750 0.750
Si 0.880 0.373 0.373
Si 0.373 0.373 0.880
Si 0.373 0.880 0.373
Si 0.373 0.373 0.373
Os 0.000 0.000 0.000

Electronic total energy (eV per atom): -4.92
SG: F-43m

---

Below is an optimized crystal structure of CdSiOs2, with properties calculated at the GGA-PBE level.

Cell: 2.963 2.963 6.909 Å, 90.00 90.00 90.00°
Sites, in units of the cell vectors:
Cd 0.500 0.500 0.750
Os 0.000 0.000 0.053
Os 0.000 0.000 0.447
Si 0.500 0.500 0.250

Electronic total energy (eV per atom): -7.04
SG: P4/mmm

---

Below is an optimized crystal structure of CdSiOs2, with properties calculated at the GGA-PBE level.

Cell: 4.661 4.661 5.213 Å, 79.91 79.91 35.69°
Sites, in units of the cell vectors:
Cd 0.252 0.252 0.243
Os 0.010 0.010 0.945
Os 0.752 0.752 0.737
Si 0.486 0.486 0.574

Electronic total energy (eV per atom): -6.74
SG: Cm

---

Below is an optimized crystal structure of CdSiOs2, with properties calculated at the GGA-PBE level.

Cell: 4.157 4.157 9.232 Å, 76.99 76.99 90.00°
Sites, in units of the cell vectors:
Si 0.500 0.500 0.000
Si 0.250 0.750 0.500
Os 0.518 0.125 0.250
Os 0.232 0.625 0.250
Os 0.375 0.482 0.750
Os 0.875 0.768 0.750
Cd 0.000 0.000 0.000
Cd 0.750 0.250 0.500

Electronic total energy (eV per atom): -6.42
SG: I-42d

---

Short version: magnetization = 0.000, 0.065, 0.000, 0.000, 0.000, 0.000 μB/atom, in the order given.
Short version: DOS at the Fermi energy = 0.97, 3.58, 4.39, 4.58, 3.18, 9.97 states/eV per cell, in the order given.
Short version: ΔE_f (raw) = 0.147, 0.570, 0.717, 0.159, 0.463, 0.783 eV/atom, in the order given.